Entry 1:
A relaxed La5Ga4Hg crystal, computed with PBE-GGA.

Summary:
Crystal system = tetragonal
Space-group type = No. 123
Total magnetic moment = 0.000 μB/atom
Formation enthalpy at 0 K = -557 meV/atom

a b c (Å): 3.769 3.769 19.298
angles (deg): 90.00 90.00 90.00
Sites, in units of the cell vectors:
1 La 0.000 0.000 0.000
2 La 0.000 0.000 0.195
3 La 0.000 0.000 0.390
4 La 0.000 0.000 0.610
5 La 0.000 0.000 0.805
6 Ga 0.500 0.500 0.098
7 Ga 0.500 0.500 0.295
8 Ga 0.500 0.500 0.705
9 Ga 0.500 0.500 0.902
10 Hg 0.500 0.500 0.500

***

Entry 2:
A relaxed LaGa2Hg2 crystal, computed with PBE-GGA.

Summary:
Crystal system = tetragonal
Space-group type = No. 127
Total magnetic moment = 0.099 μB/atom
Formation enthalpy at 0 K = -205 meV/atom

a b c (Å): 8.289 8.289 3.625
angles (deg): 90.00 90.00 90.00
Sites, in units of the cell vectors:
1 La 0.000 0.000 0.000
2 La 0.500 0.500 0.000
3 Ga 0.123 0.377 0.000
4 Ga 0.377 0.877 0.000
5 Ga 0.623 0.123 0.000
6 Ga 0.877 0.623 0.000
7 Hg 0.171 0.671 0.500
8 Hg 0.329 0.171 0.500
9 Hg 0.671 0.829 0.500
10 Hg 0.829 0.329 0.500

***

Entry 3:
A relaxed La2GaHg3 crystal, computed with PBE-GGA.

Summary:
Crystal system = orthorhombic
Space-group type = No. 69
Total magnetic moment = 0.020 μB/atom
Formation enthalpy at 0 K = -509 meV/atom

a b c (Å): 9.832 9.328 6.203
angles (deg): 75.58 66.76 37.67
Sites, in units of the cell vectors:
1 La 0.240 0.760 0.760
2 La 0.250 0.250 0.250
3 La 0.750 0.750 0.750
4 La 0.760 0.240 0.240
5 Ga 0.334 0.334 0.666
6 Ga 0.666 0.666 0.334
7 Hg 0.171 0.171 0.829
8 Hg 0.174 0.656 0.344
9 Hg 0.344 0.826 0.174
10 Hg 0.656 0.174 0.826
11 Hg 0.826 0.344 0.656
12 Hg 0.829 0.829 0.171

***

Copy entry 2 word for word.
A relaxed LaGa2Hg2 crystal, computed with PBE-GGA.

Summary:
Crystal system = tetragonal
Space-group type = No. 127
Total magnetic moment = 0.099 μB/atom
Formation enthalpy at 0 K = -205 meV/atom

a b c (Å): 8.289 8.289 3.625
angles (deg): 90.00 90.00 90.00
Sites, in units of the cell vectors:
1 La 0.000 0.000 0.000
2 La 0.500 0.500 0.000
3 Ga 0.123 0.377 0.000
4 Ga 0.377 0.877 0.000
5 Ga 0.623 0.123 0.000
6 Ga 0.877 0.623 0.000
7 Hg 0.171 0.671 0.500
8 Hg 0.329 0.171 0.500
9 Hg 0.671 0.829 0.500
10 Hg 0.829 0.329 0.500

***

- Which of these has the lowest total magnetic moment?
  La5Ga4Hg